An optimized crystal structure of YTmPuSn. Source: the Alexandria database, functional PBE.

As for the total magnetization: 6.94 μB/f.u. For the formation enthalpy at 0 K, the calculation gives -0.1422 eV per atom. For the theoretical density, the calculation gives 9348 kg/m³.

Structure (extended XYZ):
```
4
Lattice="0.000 3.806 3.806 3.806 0.000 3.806 3.806 3.806 0.000" Properties=species:S:1:pos:R:3 pbc="T T T"
Y 0.000 0.000 0.000
Tm 1.903 1.903 1.903
Pu 3.806 3.806 3.806
Sn 5.708 5.708 5.708
```